No. 1
A relaxed Ba2SrCa crystal. Source: Alexandria, functional GGA-PBEsol.

Values from the calculation:
ΔE_f ... 0.02 eV/atom
Energy ... -2.045 eV/atom
V ... 52.2 A^3/atom

Cell lengths 6.6584, 6.6584, 6.6584 Å; angles 60.00, 60.00, 60.00 degrees
Last column: nearest neighbours and their distance in Å.
Positions (direct):
Ba1 0.2500 0.2500 0.2500  4 Ca 4.08, 4 Sr 4.08
Ba2 0.7500 0.7500 0.7500  4 Ca 4.08, 4 Sr 4.08
Sr1 0.0000 0.0000 0.0000  8 Ba 4.08
Ca1 0.5000 0.5000 0.5000  8 Ba 4.08


No. 2
A relaxed Al2AsPd crystal. Source: Alexandria, functional GGA-PBEsol.

Values from the calculation:
ΔE_f ... -0.07 eV/atom
Energy ... -4.878 eV/atom
V ... 20.8 A^3/atom

Cell lengths 6.1739, 6.1739, 6.1739 Å; angles 119.92, 119.92, 90.13 degrees
Last column: nearest neighbours and their distance in Å.
Positions (direct):
Al1 0.1211 0.6250 0.9961  2 Pd 2.43, 2 As 2.46
Al2 0.3750 0.3711 0.4961  2 Pd 2.43, 2 As 2.46
Al3 0.6289 0.1250 0.0039  2 Pd 2.43, 2 As 2.46
Al4 0.8750 0.8789 0.5039  2 Pd 2.43, 2 As 2.46
As1 0.2500 0.7500 0.5000  4 Al 2.46
As2 0.5000 0.5000 0.0000  4 Al 2.46
Pd1 0.0000 0.0000 0.0000  4 Al 2.43
Pd2 0.7500 0.2500 0.5000  4 Al 2.43


No. 3
A relaxed TiGaB2Pb crystal. Source: Alexandria, functional GGA-PBEsol.

Values from the calculation:
ΔE_f ... 1.25 eV/atom
Energy ... -4.693 eV/atom
V ... 19.6 A^3/atom

Cell lengths 4.2946, 4.2946, 5.3091 Å; angles 90.00, 90.00, 90.00 degrees
Last column: nearest neighbours and their distance in Å.
Positions (direct):
Ti1 0.0000 0.0000 0.0000  4 B 2.15
Ga1 0.5000 0.5000 0.5000  4 Pb 3.04
B1 0.0000 0.5000 0.0000  2 Ti 2.15
B2 0.5000 0.0000 0.0000  2 Ti 2.15
Pb1 0.0000 0.0000 0.5000  2 Ti 2.65


No. 4
A relaxed ZrAg3 crystal. Source: Alexandria, functional GGA-PBEsol.

Values from the calculation:
ΔE_f ... -0.04 eV/atom
Energy ... -4.792 eV/atom
V ... 17.7 A^3/atom

Cell lengths 4.6451, 4.6451, 4.6451 Å; angles 60.00, 60.00, 60.00 degrees
Last column: nearest neighbours and their distance in Å.
Positions (direct):
Zr1 0.0000 0.0000 0.0000  8 Ag 2.84
Ag1 0.2500 0.2500 0.2500  4 Zr 2.84, 4 Ag 2.84
Ag2 0.5000 0.5000 0.5000  8 Ag 2.84
Ag3 0.7500 0.7500 0.7500  4 Zr 2.84, 4 Ag 2.84


What is the formula in the second record?
Al2AsPd


What did the first record say?
A relaxed Ba2SrCa crystal. Source: Alexandria, functional GGA-PBEsol.

Values from the calculation:
ΔE_f ... 0.02 eV/atom
Energy ... -2.045 eV/atom
V ... 52.2 A^3/atom

Cell lengths 6.6584, 6.6584, 6.6584 Å; angles 60.00, 60.00, 60.00 degrees
Last column: nearest neighbours and their distance in Å.
Positions (direct):
Ba1 0.2500 0.2500 0.2500  4 Ca 4.08, 4 Sr 4.08
Ba2 0.7500 0.7500 0.7500  4 Ca 4.08, 4 Sr 4.08
Sr1 0.0000 0.0000 0.0000  8 Ba 4.08
Ca1 0.5000 0.5000 0.5000  8 Ba 4.08